## La2NdHoTm5 (PBE)

Data for crystalline La2NdHoTm5 at its relaxed geometry.

The space group is I4/mcm (No. 140) and the conventional cell measures 8.578, 8.578 and 15.756 Å, with angles of 90.00, 90.00 and 90.00 degrees. Symmetry generates all atoms from La at (0.118, 0.382, 0.000), Nd at (0.000, 0.500, 0.250), Ho at (0.000, 0.000, 0.250), Tm at (0.000, 0.000, 0.000) and Tm at (0.214, 0.286, 0.358).

The theoretical density is 8202 kg/m3. The value obtained for the energy of formation is 255 meV/atom.